Material: Zr2SiBr
Method: DFT, PBE
State: relaxed

Summary:
Uncorrected energy (eV per atom): -5.71
Space-group type: F-43m
Relative energy among the computed polymorphs (meV/atom): 978.3
M_tot (μB/atom): 0.51
E_form (uncorrected) (eV per atom): 0.336

a b c (Å): 4.8935 4.8935 4.8935
angles (deg): 60.00 60.00 60.00
Sites, in units of the cell vectors:
Zr: 0.0000 0.0000 0.0000
Zr: 0.2500 0.2500 0.2500
Si: 0.7500 0.7500 0.7500
Br: 0.5000 0.5000 0.5000